(1)
## Na2LaRhS (PBE-GGA)

Data for Na2LaRhS after structural relaxation.

Cell lengths 5.132, 5.132, 5.224 Å; angles 90.00, 90.00, 90.00 degrees
Space group P4/mmm (No. 123)
Inequivalent atoms, fractional coordinates:
Na1 0.000 0.500 0.000 (multiplicity 2)
La1 0.000 0.000 0.500 (multiplicity 1)
Rh1 0.000 0.000 0.000 (multiplicity 1)
S1 0.500 0.500 0.500 (multiplicity 1)

Computed properties:
The calculation puts the total energy at -4.061 eV per atom. For the raw formation energy, the calculation gives -0.252 eV per atom.

---

(2)
## NaLa2Sb4Rh3 (PBE-GGA)

Data for NaLa2Sb4Rh3 after structural relaxation.

Cell lengths 4.637, 4.637, 10.849 Å; angles 90.00, 90.00, 90.00 degrees
Space group P-4m2 (No. 115)
Inequivalent atoms, fractional coordinates:
Na1 0.000 0.000 0.000 (multiplicity 1)
La1 0.000 0.500 0.743 (multiplicity 2)
Sb1 0.000 0.000 0.500 (multiplicity 1)
Sb2 0.000 0.500 0.145 (multiplicity 2)
Sb3 0.500 0.500 0.500 (multiplicity 1)
Rh1 0.000 0.500 0.386 (multiplicity 2)
Rh2 0.500 0.500 0.000 (multiplicity 1)

Computed properties:
The calculation puts the total energy at -5.713 eV per atom. For the raw formation energy, the calculation gives -0.741 eV per atom.

---

(3)
## NaLaSbRh (PBE-GGA)

Data for NaLaSbRh after structural relaxation.

Cell lengths 7.028, 7.028, 7.028 Å; angles 90.00, 90.00, 90.00 degrees
Space group F-43m (No. 216)
Inequivalent atoms, fractional coordinates:
Na1 0.000 0.000 0.000 (multiplicity 4)
La1 0.250 0.250 0.750 (multiplicity 4)
Sb1 0.250 0.250 0.250 (multiplicity 4)
Rh1 0.000 0.000 0.500 (multiplicity 4)

Computed properties:
The calculation puts the total energy at -5.043 eV per atom. For the raw formation energy, the calculation gives -0.613 eV per atom.

---

(4)
## NaSrLa2Rh (PBE-GGA)

Data for NaSrLa2Rh after structural relaxation.

Cell lengths 5.485, 5.485, 6.190 Å; angles 90.00, 90.00, 90.00 degrees
Space group P4/mmm (No. 123)
Inequivalent atoms, fractional coordinates:
Na1 0.000 0.000 0.000 (multiplicity 1)
Sr1 0.500 0.500 0.000 (multiplicity 1)
La1 0.000 0.500 0.500 (multiplicity 2)
Rh1 0.000 0.000 0.500 (multiplicity 1)

Computed properties:
The calculation puts the total energy at -4.199 eV per atom. The relative energy among the computed polymorphs is 0.084 eV/atom. Its energy relative to the elements is -0.158 eV/atom.

---

(5)
## NaSrLa2Rh (PBE-GGA)

Data for NaSrLa2Rh after structural relaxation.

Cell lengths 5.566, 5.566, 6.241 Å; angles 90.00, 90.00, 90.00 degrees
Space group P4/mmm (No. 123)
Inequivalent atoms, fractional coordinates:
Na1 0.000 0.000 0.000 (multiplicity 1)
Sr1 0.500 0.500 0.000 (multiplicity 1)
La1 0.000 0.500 0.500 (multiplicity 2)
Rh1 0.500 0.500 0.500 (multiplicity 1)

Computed properties:
The calculation puts the total energy at -4.283 eV per atom. The relative energy among the computed polymorphs is 0.000 eV/atom. Its energy relative to the elements is -0.241 eV/atom.

---

(6)
## NaLa2TiRh (PBE-GGA)

Data for NaLa2TiRh after structural relaxation.

Cell lengths 5.659, 5.659, 4.621 Å; angles 90.00, 90.00, 90.00 degrees
Space group P4/mmm (No. 123)
Inequivalent atoms, fractional coordinates:
Na1 0.000 0.000 0.000 (multiplicity 1)
La1 0.000 0.500 0.500 (multiplicity 2)
Ti1 0.500 0.500 0.500 (multiplicity 1)
Rh1 0.500 0.500 0.000 (multiplicity 1)

Computed properties:
The calculation puts the total energy at -5.026 eV per atom. The relative energy among the computed polymorphs is 0.000 eV/atom. Its energy relative to the elements is 0.258 eV/atom.

---

(7)
## NaLa2TiRh (PBE-GGA)

Data for NaLa2TiRh after structural relaxation.

Cell lengths 5.611, 5.611, 4.676 Å; angles 90.00, 90.00, 90.00 degrees
Space group P4/mmm (No. 123)
Inequivalent atoms, fractional coordinates:
Na1 0.000 0.000 0.000 (multiplicity 1)
La1 0.000 0.500 0.000 (multiplicity 2)
Ti1 0.000 0.000 0.500 (multiplicity 1)
Rh1 0.500 0.500 0.500 (multiplicity 1)

Computed properties:
The calculation puts the total energy at -4.030 eV per atom. The relative energy among the computed polymorphs is 0.995 eV/atom. Its energy relative to the elements is 1.254 eV/atom.

---

(8)
## NaLa2TlRh (PBE-GGA)

Data for NaLa2TlRh after structural relaxation.

Cell lengths 5.530, 5.530, 5.407 Å; angles 90.00, 90.00, 90.00 degrees
Space group P4/mmm (No. 123)
Inequivalent atoms, fractional coordinates:
Na1 0.000 0.000 0.000 (multiplicity 1)
La1 0.000 0.500 0.500 (multiplicity 2)
Tl1 0.500 0.500 0.000 (multiplicity 1)
Rh1 0.500 0.500 0.500 (multiplicity 1)

Computed properties:
The calculation puts the total energy at -4.467 eV per atom. The relative energy among the computed polymorphs is 0.000 eV/atom. Its energy relative to the elements is -0.289 eV/atom.

---

(9)
## NaLa2TlRh (PBE-GGA)

Data for NaLa2TlRh after structural relaxation.

Cell lengths 5.439, 5.439, 5.461 Å; angles 90.00, 90.00, 90.00 degrees
Space group P4/mmm (No. 123)
Inequivalent atoms, fractional coordinates:
Na1 0.000 0.000 0.000 (multiplicity 1)
La1 0.000 0.500 0.500 (multiplicity 2)
Tl1 0.500 0.500 0.000 (multiplicity 1)
Rh1 0.000 0.000 0.500 (multiplicity 1)

Computed properties:
The calculation puts the total energy at -4.411 eV per atom. The relative energy among the computed polymorphs is 0.057 eV/atom. Its energy relative to the elements is -0.232 eV/atom.

---

(10)
## NaLaZn2Rh (PBE-GGA)

Data for NaLaZn2Rh after structural relaxation.

Cell lengths 5.056, 5.056, 5.175 Å; angles 90.00, 90.00, 90.00 degrees
Space group P4/mmm (No. 123)
Inequivalent atoms, fractional coordinates:
Na1 0.000 0.000 0.000 (multiplicity 1)
La1 0.500 0.500 0.000 (multiplicity 1)
Zn1 0.000 0.500 0.500 (multiplicity 2)
Rh1 0.500 0.500 0.500 (multiplicity 1)

Computed properties:
The calculation puts the total energy at -3.429 eV per atom. Its energy relative to the elements is -0.200 eV/atom.

---

(11)
## NaLa3Ru (PBE-GGA)

Data for NaLa3Ru after structural relaxation.

Cell lengths 8.969, 3.972, 9.868 Å; angles 90.00, 104.79, 90.00 degrees
Space group P2_1/m (No. 11)
Inequivalent atoms, fractional coordinates:
Na1 0.044 0.250 0.144 (multiplicity 2)
La1 0.244 0.250 0.687 (multiplicity 2)
La2 0.351 0.750 0.379 (multiplicity 2)
La3 0.370 0.750 0.034 (multiplicity 2)
Ru1 0.456 0.750 0.711 (multiplicity 2)

Computed properties:
The calculation puts the total energy at -5.175 eV per atom. The relative energy among the computed polymorphs is 0.057 eV/atom. Its energy relative to the elements is -0.100 eV/atom.

---

(12)
## NaLa3Ru (PBE-GGA)

Data for NaLa3Ru after structural relaxation.

Cell lengths 4.234, 6.404, 13.226 Å; angles 85.03, 80.79, 90.00 degrees
Space group P1 (No. 1)
Inequivalent atoms, fractional coordinates:
Na1 0.000 0.000 0.000 (multiplicity 1)
Na2 0.500 0.500 0.000 (multiplicity 1)
La1 0.123 0.524 0.757 (multiplicity 1)
La2 0.247 0.248 0.508 (multiplicity 1)
La3 0.375 0.986 0.247 (multiplicity 1)
La4 0.625 0.017 0.753 (multiplicity 1)
La5 0.754 0.754 0.492 (multiplicity 1)
La6 0.878 0.478 0.243 (multiplicity 1)
Ru1 0.321 0.625 0.357 (multiplicity 1)
Ru2 0.680 0.377 0.643 (multiplicity 1)

Computed properties:
The calculation puts the total energy at -5.209 eV per atom. The relative energy among the computed polymorphs is 0.023 eV/atom. Its energy relative to the elements is -0.133 eV/atom.

---

(13)
## NaLaRu3 (PBE-GGA)

Data for NaLaRu3 after structural relaxation.

Cell lengths 4.935, 4.935, 4.935 Å; angles 90.00, 90.00, 90.00 degrees
Space group Pm-3m (No. 221)
Inequivalent atoms, fractional coordinates:
Na1 0.000 0.000 0.000 (multiplicity 1)
La1 0.500 0.500 0.500 (multiplicity 1)
Ru1 0.000 0.500 0.500 (multiplicity 3)

Computed properties:
The calculation puts the total energy at -5.216 eV per atom. The relative energy among the computed polymorphs is 0.061 eV/atom. Its energy relative to the elements is 1.599 eV/atom.

---

(14)
## NaLa3Ru (PBE-GGA)

Data for NaLa3Ru after structural relaxation.

Cell lengths 8.027, 6.723, 6.265 Å; angles 90.00, 90.06, 90.00 degrees
Space group P2/c (No. 13)
Inequivalent atoms, fractional coordinates:
Na1 0.000 0.161 0.250 (multiplicity 2)
La1 0.240 0.336 0.750 (multiplicity 4)
La2 0.500 0.149 0.250 (multiplicity 2)
Ru1 0.500 0.500 0.000 (multiplicity 2)

Computed properties:
The calculation puts the total energy at -5.232 eV per atom. The relative energy among the computed polymorphs is 0.000 eV/atom. Its energy relative to the elements is -0.157 eV/atom.

---

(15)
## NaLa3Ru (PBE-GGA)

Data for NaLa3Ru after structural relaxation.

Cell lengths 12.308, 17.332, 6.743 Å; angles 90.00, 109.24, 90.00 degrees
Space group C2/c (No. 15)
Inequivalent atoms, fractional coordinates:
Na1 0.000 0.021 0.250 (multiplicity 4)
Na2 0.000 0.390 0.750 (multiplicity 4)
La1 0.102 0.237 0.518 (multiplicity 8)
La2 0.173 0.435 0.343 (multiplicity 8)
La3 0.191 0.150 0.040 (multiplicity 8)
Ru1 0.160 0.301 0.172 (multiplicity 8)

Computed properties:
The calculation puts the total energy at -5.146 eV per atom. The relative energy among the computed polymorphs is 0.086 eV/atom. Its energy relative to the elements is -0.070 eV/atom.

---

(16)
## NaLa3Ru (PBE-GGA)

Data for NaLa3Ru after structural relaxation.

Cell lengths 6.317, 16.283, 6.749 Å; angles 90.00, 90.00, 90.00 degrees
Space group Pnma (No. 62)
Inequivalent atoms, fractional coordinates:
Na1 0.000 0.000 0.000 (multiplicity 4)
La1 0.001 0.126 0.434 (multiplicity 8)
La2 0.001 0.250 0.905 (multiplicity 4)
Ru1 0.249 0.750 0.750 (multiplicity 4)

Computed properties:
The calculation puts the total energy at -5.186 eV per atom. The relative energy among the computed polymorphs is 0.046 eV/atom. Its energy relative to the elements is -0.111 eV/atom.

---

(17)
## NaLa3Ru (PBE-GGA)

Data for NaLa3Ru after structural relaxation.

Cell lengths 5.636, 5.636, 5.636 Å; angles 90.00, 90.00, 90.00 degrees
Space group Pm-3m (No. 221)
Inequivalent atoms, fractional coordinates:
Na1 0.000 0.000 0.000 (multiplicity 1)
La1 0.000 0.500 0.500 (multiplicity 3)
Ru1 0.500 0.500 0.500 (multiplicity 1)

Computed properties:
The calculation puts the total energy at -5.187 eV per atom. The relative energy among the computed polymorphs is 0.045 eV/atom. Its energy relative to the elements is -0.112 eV/atom.

---

(18)
## NaLa3Ru (PBE-GGA)

Data for NaLa3Ru after structural relaxation.

Cell lengths 6.505, 4.196, 13.324 Å; angles 90.00, 102.63, 90.00 degrees
Space group P2_1/m (No. 11)
Inequivalent atoms, fractional coordinates:
Na1 0.241 0.250 0.497 (multiplicity 2)
La1 0.048 0.750 0.253 (multiplicity 2)
La2 0.247 0.750 0.992 (multiplicity 2)
La3 0.457 0.750 0.743 (multiplicity 2)
Ru1 0.338 0.250 0.857 (multiplicity 2)

Computed properties:
The calculation puts the total energy at -5.211 eV per atom. The relative energy among the computed polymorphs is 0.021 eV/atom. Its energy relative to the elements is -0.135 eV/atom.

---

(19)
## NaLa3Ru (PBE-GGA)

Data for NaLa3Ru after structural relaxation.

Cell lengths 10.095, 7.758, 10.046 Å; angles 90.00, 90.00, 90.00 degrees
Space group Cmcm (No. 63)
Inequivalent atoms, fractional coordinates:
Na1 0.000 0.184 0.250 (multiplicity 4)
La1 0.000 0.500 0.000 (multiplicity 4)
La2 0.193 0.169 0.750 (multiplicity 8)
Ru1 0.000 0.405 0.750 (multiplicity 4)

Computed properties:
The calculation puts the total energy at -4.841 eV per atom. The relative energy among the computed polymorphs is 0.391 eV/atom. Its energy relative to the elements is 0.235 eV/atom.

---

(20)
## NaLa3Ru (PBE-GGA)

Data for NaLa3Ru after structural relaxation.

Cell lengths 15.426, 3.951, 11.707 Å; angles 90.00, 109.84, 90.00 degrees
Space group C2/m (No. 12)
Inequivalent atoms, fractional coordinates:
Na1 0.093 0.000 0.101 (multiplicity 4)
La1 0.027 0.000 0.367 (multiplicity 4)
La2 0.160 0.500 0.871 (multiplicity 4)
La3 0.234 0.000 0.641 (multiplicity 4)
Ru1 0.100 0.500 0.609 (multiplicity 4)

Computed properties:
The calculation puts the total energy at -5.167 eV per atom. The relative energy among the computed polymorphs is 0.065 eV/atom. Its energy relative to the elements is -0.091 eV/atom.